(1)
Compound: AlRuI2O
Source: Alexandria
Functional: PBEsol
Structure: optimized geometry

Cell lengths 3.6866, 5.5547, 5.5547 Å; angles 90.00, 90.00, 90.00 degrees
With the nearest neighbours (Å) after each atom.
Positions (direct):
I (0.0000, 0.0000, 0.5000)  2 Ru 2.78
I (0.0000, 0.5000, 0.0000)  2 Ru 2.78
Al (0.5000, 0.5000, 0.5000)  8 I 3.33, 2 Al 3.69
Ru (0.0000, 0.0000, 0.0000)  2 O 1.84
O (0.5000, 0.0000, 0.0000)  2 Ru 1.84

## Properties
space group: No. 123
final energy: -4.7513 eV per atom

---

(2)
Compound: AlSbI2O
Source: Alexandria
Functional: PBEsol
Structure: optimized geometry

Cell lengths 5.3969, 5.3969, 5.2962 Å; angles 90.00, 90.00, 90.00 degrees
With the nearest neighbours (Å) after each atom.
Positions (direct):
I (0.0000, 0.5000, 0.0000)  2 Al 2.70
I (0.5000, 0.0000, 0.0000)  2 Al 2.70
Sb (0.0000, 0.0000, 0.5000)  2 Al 2.65
O (0.5000, 0.5000, 0.5000)  8 I 3.78, 4 Sb 3.82
Al (0.0000, 0.0000, 0.0000)  2 Sb 2.65, 4 I 2.70

## Properties
space group: No. 123
E above lowest polymorph: 495 meV per atom

---

(3)
Compound: AlSbI2O
Source: Alexandria
Functional: PBEsol
Structure: optimized geometry

Cell lengths 3.9815, 6.0606, 6.0606 Å; angles 90.00, 90.00, 90.00 degrees
With the nearest neighbours (Å) after each atom.
Positions (direct):
Sb (0.5000, 0.0000, 0.0000)  2 O 1.99
I (0.0000, 0.5000, 0.0000)  2 O 3.03
I (0.0000, 0.0000, 0.5000)  2 O 3.03
Al (0.5000, 0.5000, 0.5000)  8 I 3.63, 2 Al 3.98
O (0.0000, 0.0000, 0.0000)  2 Sb 1.99

## Properties
space group: No. 123
E above lowest polymorph: 0 meV per atom

---

(4)
Compound: AlSeI2O
Source: Alexandria
Functional: PBEsol
Structure: optimized geometry

Cell lengths 3.4021, 5.7227, 5.7227 Å; angles 90.00, 90.00, 90.00 degrees
With the nearest neighbours (Å) after each atom.
Positions (direct):
I (0.0000, 0.0000, 0.5000)  2 Al 2.86
I (0.0000, 0.5000, 0.0000)  2 Al 2.86
O (0.5000, 0.0000, 0.0000)  2 Al 1.70
Al (0.0000, 0.0000, 0.0000)  2 O 1.70
Se (0.5000, 0.5000, 0.5000)  8 I 3.33, 2 Se 3.40

## Properties
space group: No. 123
final energy: -3.9194 eV per atom

---

(5)
Compound: AlSiIO2
Source: Alexandria
Functional: PBEsol
Structure: optimized geometry

Cell lengths 3.7582, 3.7582, 5.2898 Å; angles 90.00, 90.00, 90.00 degrees
With the nearest neighbours (Å) after each atom.
Positions (direct):
I (0.0000, 0.0000, 0.5000)  2 Si 2.64, 4 Al 2.66
O (0.0000, 0.5000, 0.0000)  2 Si 1.88
O (0.5000, 0.0000, 0.0000)  2 Si 1.88
Si (0.0000, 0.0000, 0.0000)  4 O 1.88
Al (0.5000, 0.5000, 0.5000)  4 I 2.66

## Properties
space group: No. 123
final energy: -4.9647 eV per atom

---

(6)
Compound: AlSnIO2
Source: Alexandria
Functional: PBEsol
Structure: optimized geometry

Cell lengths 4.0196, 4.0196, 5.2327 Å; angles 90.00, 90.00, 90.00 degrees
With the nearest neighbours (Å) after each atom.
Positions (direct):
I (0.0000, 0.0000, 0.5000)  2 Al 2.62, 4 Sn 2.84
O (0.0000, 0.5000, 0.0000)  2 Al 2.01
O (0.5000, 0.0000, 0.0000)  2 Al 2.01
Sn (0.5000, 0.5000, 0.5000)  4 I 2.84
Al (0.0000, 0.0000, 0.0000)  4 O 2.01

## Properties
space group: No. 123
final energy: -4.8562 eV per atom

---

(7)
Compound: AlTlIO2
Source: Alexandria
Functional: PBEsol
Structure: optimized geometry

Cell lengths 4.2266, 4.2266, 6.1922 Å; angles 90.00, 90.00, 90.00 degrees
With the nearest neighbours (Å) after each atom.
Positions (direct):
O (0.5000, 0.0000, 0.0000)  2 Tl 2.11
O (0.0000, 0.5000, 0.0000)  2 Tl 2.11
Tl (0.0000, 0.0000, 0.0000)  4 O 2.11
I (0.0000, 0.0000, 0.5000)  4 Al 2.99, 2 Tl 3.10
Al (0.5000, 0.5000, 0.5000)  4 I 2.99

## Properties
space group: No. 123
final energy: -3.6154 eV per atom

---

(8)
Compound: AlTe2OsI
Source: Alexandria
Functional: PBEsol
Structure: optimized geometry

Cell lengths 5.1346, 5.2305, 5.2305 Å; angles 90.00, 90.00, 90.00 degrees
With the nearest neighbours (Å) after each atom.
Positions (direct):
Te (0.0000, 0.0000, 0.5000)  2 Al 2.62
Te (0.0000, 0.5000, 0.0000)  2 Al 2.62
I (0.5000, 0.0000, 0.0000)  2 Al 2.57
Al (0.0000, 0.0000, 0.0000)  2 I 2.57, 4 Te 2.62
Os (0.5000, 0.5000, 0.5000)  8 Te 3.66, 4 I 3.70

## Properties
space group: No. 123
final energy: -3.5807 eV per atom

---

What is the formula in the first record? AlRuI2O